1.
Hf3HgH after structural relaxation, computed with PBE-GGA.

The space group is Imma (No. 74) and the conventional cell measures 5.548, 8.797 and 7.701 Å, with angles of 90.00, 90.00 and 90.00 degrees. The asymmetric unit holds Hf at (0.000, 0.093, 0.144), Hf at (0.250, 0.250, 0.750), Hg at (0.000, 0.000, 0.500) and H at (0.000, 0.250, 0.954).

The volume comes out at 375.9 Å³ per cell. The calculation puts the density of states at the Fermi level at 0.977 states/eV/atom. The calculation puts the polymorph energy (0 for the lowest one) at 357 meV/atom.

2.
Hf2HgH2 after structural relaxation, computed with PBE-GGA.

The space group is I4/mmm (No. 139) and the conventional cell measures 3.709, 3.709 and 9.753 Å, with angles of 90.00, 90.00 and 90.00 degrees. The asymmetric unit holds Hf at (0.000, 0.000, 0.157), Hg at (0.000, 0.000, 0.500) and H at (0.000, 0.500, 0.250).

The volume comes out at 134.2 Å³ per cell. The calculation puts the density of states at the Fermi level at 0.292 states/eV/atom. The value obtained for the final energy is -5.6774 eV/atom.

3.
HfHgH after structural relaxation, computed with PBE-GGA.

The space group is P-6m2 (No. 187) and the conventional cell measures 3.3546, 3.3546 and 4.7837 Å, with angles of 90.00, 90.00 and 120.00 degrees. The asymmetric unit holds Hf at (0.0000, 0.0000, 0.0000), Hg at (0.6667, 0.3333, 0.5000) and H at (0.3333, 0.6667, 0.0000).

The volume comes out at 46.6 Å³ per cell. The calculation puts the density of states at the Fermi level at 0.451 states/eV/atom. The calculation puts the polymorph energy (0 for the lowest one) at 0 meV/atom.

4.
Hf3HgH after structural relaxation, computed with PBE-GGA.

The space group is P1 (No. 1) and the conventional cell measures 4.846, 5.797 and 7.666 Å, with angles of 69.19, 89.85 and 65.94 degrees. The asymmetric unit holds Hf at (0.000, 0.000, 0.000), Hf at (0.007, 0.961, 0.459), Hf at (0.249, 0.521, 0.866), Hf at (0.550, 0.963, 0.746), Hf at (0.743, 0.530, 0.137), Hf at (0.775, 0.470, 0.604), Hg at (0.286, 0.445, 0.379), Hg at (0.480, 0.033, 0.222), H at (0.152, 0.237, 0.801) and H at (0.395, 0.739, 0.650).

The volume comes out at 181.2 Å³ per cell. The calculation puts the density of states at the Fermi level at 0.673 states/eV/atom. The calculation puts the polymorph energy (0 for the lowest one) at 33 meV/atom.

5.
Hf3HgH after structural relaxation, computed with PBE-GGA.

The space group is P1 (No. 1) and the conventional cell measures 5.464, 5.935 and 6.387 Å, with angles of 74.06, 86.26 and 64.04 degrees. The asymmetric unit holds Hf at (0.000, 0.000, 0.000), Hf at (0.021, 0.010, 0.498), Hf at (0.384, 0.493, 0.834), Hf at (0.410, 0.519, 0.340), Hf at (0.525, 0.956, 0.768), Hf at (0.896, 0.529, 0.587), Hg at (0.511, 0.016, 0.245), Hg at (0.922, 0.487, 0.115), H at (0.309, 0.338, 0.621) and H at (0.376, 0.727, 0.015).

The volume comes out at 178.7 Å³ per cell. The calculation puts the density of states at the Fermi level at 0.560 states/eV/atom. The calculation puts the polymorph energy (0 for the lowest one) at 46 meV/atom.

6.
Hf3HgH after structural relaxation, computed with PBE-GGA.

The space group is P2_1 (No. 4) and the conventional cell measures 5.969, 4.953 and 6.161 Å, with angles of 90.00, 101.93 and 90.00 degrees. The asymmetric unit holds Hf at (0.127, 0.000, 0.411), Hf at (0.146, 0.989, 0.922), Hf at (0.362, 0.499, 0.239), Hg at (0.381, 0.497, 0.736) and H at (0.073, 0.397, 0.361).

The volume comes out at 178.2 Å³ per cell. The calculation puts the density of states at the Fermi level at 0.822 states/eV/atom. The calculation puts the polymorph energy (0 for the lowest one) at 52 meV/atom.

7.
Hf3HgH2 after structural relaxation, computed with PBE-GGA.

The space group is P2_1/m (No. 11) and the conventional cell measures 5.958, 3.188 and 10.211 Å, with angles of 90.00, 97.12 and 90.00 degrees. The asymmetric unit holds Hf at (0.044, 0.250, 0.365), Hf at (0.213, 0.250, 0.889), Hf at (0.392, 0.250, 0.620), Hg at (0.297, 0.750, 0.139), H at (0.041, 0.750, 0.835) and H at (0.403, 0.250, 0.424).

The volume comes out at 192.5 Å³ per cell. The calculation puts the density of states at the Fermi level at 0.413 states/eV/atom. The value obtained for the final energy is -6.3025 eV/atom.

8.
Hf3HgH after structural relaxation, computed with PBE-GGA.

The space group is Pm-3m (No. 221) and the conventional cell measures 4.413, 4.413 and 4.413 Å, with angles of 90.00, 90.00 and 90.00 degrees. The asymmetric unit holds Hf at (0.000, 0.000, 0.500), Hg at (0.500, 0.500, 0.500) and H at (0.000, 0.000, 0.000).

The volume comes out at 85.9 Å³ per cell. The calculation puts the density of states at the Fermi level at 0.389 states/eV/atom. The calculation puts the polymorph energy (0 for the lowest one) at 0 meV/atom.